[1]
DFT (PBE) results for an optimized crystal structure of Tc2Sb2Te.

The structure belongs to space group P4/mbm (No. 127); the cell edges are 7.821, 7.821 and 3.229 Å and the angles 90.00°, 90.00° and 90.00°. The distinct sites, in fractional coordinates, are Tc at (0.146, 0.354, 0.000), Sb at (0.145, 0.645, 0.500) and Te at (0.000, 0.000, 0.000).

Its uncorrected formation energy is 19.4 kJ/mol of atoms. As for the crystal system: tetragonal. The relative energy among the computed polymorphs comes out at 0.000 eV/atom.

[2]
DFT (PBE) results for an optimized crystal structure of Hf3InRe.

The structure belongs to space group Pm-3m (No. 221); the cell edges are 5.038, 5.038 and 5.038 Å and the angles 90.00°, 90.00° and 90.00°. The distinct sites, in fractional coordinates, are Hf at (0.000, 0.000, 0.500), In at (0.500, 0.500, 0.500) and Re at (0.000, 0.000, 0.000).

As for the crystal system: cubic. The relative energy among the computed polymorphs comes out at 0.613 eV/atom. The energy of formation is 2.6 eV/f.u.

[3]
DFT (PBE) results for an optimized crystal structure of PmNi4Sn.

The structure belongs to space group F-43m (No. 216); the cell edges are 7.141, 7.141 and 7.141 Å and the angles 90.00°, 90.00° and 90.00°. The distinct sites, in fractional coordinates, are Pm at (0.000, 0.000, 0.000), Ni at (0.124, 0.124, 0.624) and Sn at (0.250, 0.250, 0.250).

As for the crystal system: cubic. The relative energy among the computed polymorphs comes out at 0.000 eV/atom. The energy of formation is -1.9 eV/f.u.

[4]
DFT (PBE) results for an optimized crystal structure of GePb2Au6.

The structure belongs to space group Fm-3m (No. 225); the cell edges are 9.250, 9.250 and 9.250 Å and the angles 90.00°, 90.00° and 90.00°. The distinct sites, in fractional coordinates, are Ge at (0.000, 0.000, 0.000), Pb at (0.250, 0.250, 0.250) and Au at (0.000, 0.000, 0.277).

As for the crystal system: cubic. The relative energy among the computed polymorphs comes out at 0.016 eV/atom. The energy of formation is -0.1 eV/f.u.

[5]
DFT (PBE) results for an optimized crystal structure of Ni7Pd3Pt2.

The structure belongs to space group Cmmm (No. 65); the cell edges are 4.255, 18.747 and 4.249 Å and the angles 90.00°, 90.00° and 90.00°. The distinct sites, in fractional coordinates, are Ni at (0.000, 0.000, 0.000), Ni at (0.000, 0.072, 0.500), Ni at (0.000, 0.277, 0.000), Ni at (0.000, 0.428, 0.000), Pd at (0.000, 0.346, 0.500), Pd at (0.000, 0.500, 0.500) and Pt at (0.000, 0.146, 0.000).

As for the crystal system: orthorhombic. The relative energy among the computed polymorphs comes out at 0.043 eV/atom. The energy of formation is 2.2 eV/f.u.

[6]
DFT (PBE) results for an optimized crystal structure of YHfZrSn2.

The structure belongs to space group P4/mmm (No. 123); the cell edges are 5.398, 5.398 and 5.217 Å and the angles 90.00°, 90.00° and 90.00°. The distinct sites, in fractional coordinates, are Y at (0.000, 0.000, 0.000), Hf at (0.000, 0.000, 0.500), Zr at (0.500, 0.500, 0.000) and Sn at (0.000, 0.500, 0.500).

As for the crystal system: tetragonal. The energy of formation is 3.7 eV/f.u.

[7]
DFT (PBE) results for an optimized crystal structure of AcLuSb2.

The structure belongs to space group P4/mmm (No. 123); the cell edges are 3.962, 3.962 and 7.639 Å and the angles 90.00°, 90.00° and 90.00°. The distinct sites, in fractional coordinates, are Ac at (0.000, 0.000, 0.000), Lu at (0.000, 0.000, 0.500) and Sb at (0.500, 0.500, 0.278).

Its uncorrected formation energy is -75.5 kJ/mol of atoms. As for the crystal system: tetragonal. The relative energy among the computed polymorphs comes out at 0.309 eV/atom.

[8]
DFT (PBE) results for an optimized crystal structure of Bi2Pb8Au3.

The structure belongs to space group P2/m (No. 10); the cell edges are 9.340, 5.111 and 9.376 Å and the angles 90.00°, 113.63° and 90.00°. The distinct sites, in fractional coordinates, are Bi at (0.250, 0.000, 0.248), Pb at (0.110, 0.500, 0.389), Pb at (0.140, 0.000, 0.860), Pb at (0.361, 0.000, 0.638), Pb at (0.388, 0.500, 0.113), Au at (0.000, 0.000, 0.500) and Au at (0.262, 0.500, 0.762).

As for the crystal system: monoclinic. The energy of formation is -0.2 eV/f.u.

Number 1: calculated total energy -62.23 eV for the cell shown. Number 2: calculated total energy -42.42 eV for the cell shown. Number 3: calculated total energy -135.20 eV for the cell shown. Number 4: calculated total energy -127.15 eV for the cell shown. Number 5: calculated total energy -131.81 eV for the cell shown. Number 6: calculated total energy -29.24 eV for the cell shown. Number 7: calculated total energy -20.00 eV for the cell shown. Number 8: calculated total energy -47.46 eV for the cell shown.